VASP calculation (PBE) on crystalline InGePt2 at its relaxed geometry.

Results
uncorrected energy = -4.98 eV/atom
ΔE_f = -0.120 eV/atom
theoretical density = 9.59 Mg/m³
D(E_F) = 4.841 states/eV/cell
crystal system = tetragonal
symmetry = I-42d

Cell and atoms, written as POSCAR:
```
InGePt2
1.0
5.989 0.000 0.000
0.000 5.989 0.000
0.000 0.000 11.151
In Ge Pt
4 4 8
direct
0.000 0.000 0.000 In
0.000 0.500 0.250 In
0.500 0.000 0.750 In
0.500 0.500 0.500 In
0.000 0.000 0.500 Ge
0.000 0.500 0.750 Ge
0.500 0.000 0.250 Ge
0.500 0.500 0.000 Ge
0.213 0.250 0.625 Pt
0.250 0.713 0.875 Pt
0.250 0.787 0.375 Pt
0.287 0.250 0.125 Pt
0.713 0.750 0.125 Pt
0.750 0.213 0.375 Pt
0.750 0.287 0.875 Pt
0.787 0.750 0.625 Pt
```